Entry 1:
This record from Alexandria describes a relaxed structure of SmY2Cd8. The functional is GGA-PBE.

Calculated values
- space-group type = No. 12
- M_tot (μB per formula unit) = 0.00
- final energy (eV/atom) = -2.5366
- energy of formation (eV per atom) = -0.267

abc: 5.3429 6.3581 8.9562
angles: 110.43 106.94 91.12
Closest atoms and distances in Å follow each position.
Sites, in units of the cell vectors:
Cd: 0.2523 0.4928 0.0000  2 Cd 2.65-2.70
Cd: 0.7014 0.2014 0.4027  4 Y 3.18-3.19, 6 Cd 3.19-3.31, 1 Sm 3.20
Cd: 0.2986 0.7986 0.5973  4 Y 3.18-3.19, 6 Cd 3.19-3.31, 1 Sm 3.20
Cd: 0.8775 0.6390 0.7410  5 Cd 2.95-3.20, 1 Y 3.23
Cd: 0.1225 0.3610 0.2590  5 Cd 2.95-3.20, 1 Y 3.23
Cd: 0.8634 0.1019 0.7410  5 Cd 2.95-3.20, 1 Y 3.23
Cd: 0.1366 0.8981 0.2590  5 Cd 2.95-3.20, 1 Y 3.23
Cd: 0.7477 0.5072 0.0000  2 Cd 2.65-2.70
Y: 0.6896 0.6896 0.3793  12 Cd 3.18-3.31
Y: 0.3104 0.3104 0.6207  12 Cd 3.18-3.31
Sm: 0.5000 0.0000 0.0000  6 Cd 3.20-3.46

***

Entry 2:
This record from Alexandria describes a relaxed structure of SmZr2Pa. The functional is GGA-PBE.

Calculated values
- space-group type = No. 123
- M_tot (μB per formula unit) = 0.00
- final energy (eV/atom) = -7.6948
- energy of formation (eV per atom) = 0.133

abc: 3.8581 3.8581 7.1522
angles: 90.00 90.00 90.00
Closest atoms and distances in Å follow each position.
Sites, in units of the cell vectors:
Sm: 0.5000 0.5000 0.5000  8 Zr 3.44, 2 Pa 3.58
Zr: 0.0000 0.0000 0.7932  1 Zr 2.96, 4 Pa 3.10
Zr: 0.0000 0.0000 0.2068  1 Zr 2.96, 4 Pa 3.10
Pa: 0.5000 0.5000 0.0000  8 Zr 3.10

***

Entry 3:
This record from Alexandria describes a relaxed structure of SrLa2As. The functional is GGA-PBE.

Calculated values
- space-group type = No. 122
- M_tot (μB per formula unit) = 0.00
- final energy (eV/atom) = -4.4785
- energy of formation (eV per atom) = -0.432

abc: 9.4264 9.4264 7.4370
angles: 50.67 50.67 90.00
Closest atoms and distances in Å follow each position.
Sites, in units of the cell vectors:
La: 0.2008 0.6250 0.2500  2 As 2.99
La: 0.8750 0.7992 0.7500  2 As 2.99
La: 0.3750 0.4508 0.7500  2 As 2.99
La: 0.5492 0.1250 0.2500  2 As 2.99
As: 0.2500 0.7500 0.5000  4 La 2.99, 2 Sr 3.30
As: 0.5000 0.5000 0.0000  4 La 2.99, 2 Sr 3.30
Sr: 0.7500 0.2500 0.5000  2 As 3.30
Sr: 0.0000 0.0000 0.0000  2 As 3.30

***

Entry 4:
This record from Alexandria describes a relaxed structure of NaLi2RuCl6. The functional is GGA-PBE.

Calculated values
- space-group type = No. 146
- M_tot (μB per formula unit) = 1.01
- final energy (eV/atom) = -3.7926
- ΔE_f (raw) (eV per atom) = -1.242

abc: 6.4366 6.4363 6.9842
angles: 62.57 62.56 59.99
Closest atoms and distances in Å follow each position.
Sites, in units of the cell vectors:
Cl: 0.2486 0.9450 0.2368  1 Ru 2.40, 2 Li 2.54-2.66
Cl: 0.9449 0.5696 0.2369  1 Ru 2.40, 2 Li 2.54-2.66
Cl: 0.5696 0.2486 0.2369  1 Ru 2.40, 2 Li 2.55-2.66
Cl: 0.7152 0.1292 0.7713  1 Ru 2.37, 1 Li 2.50
Cl: 0.1292 0.3843 0.7713  1 Ru 2.37, 1 Li 2.50
Cl: 0.3843 0.7151 0.7713  1 Ru 2.37, 1 Li 2.50
Li: 0.5201 0.5202 0.4399  6 Cl 2.54-2.72
Li: 0.0060 0.0061 0.9818  6 Cl 2.50-2.66
Na: 0.8150 0.8149 0.5550  6 Cl 2.72-2.89
Ru: 0.3286 0.3286 0.0141  6 Cl 2.37-2.40

***

Entry 5:
This record from Alexandria describes a relaxed structure of La4Pr8Y. The functional is GGA-PBE.

Calculated values
- space-group type = No. 166
- M_tot (μB per formula unit) = 0.00
- final energy (eV/atom) = -4.6019
- energy of formation (eV per atom) = 0.353

abc: 11.9665 11.9665 7.9727
angles: 90.00 138.63 120.00
Closest atoms and distances in Å follow each position.
Sites, in units of the cell vectors:
Y: 0.0000 0.5000 0.5000  2 Pr 3.11
Pr: 0.6712 0.8356 0.0032  3 La 3.43-3.47, 3 Pr 3.43-3.65
Pr: 0.3288 0.1644 0.9968  3 La 3.43-3.47, 3 Pr 3.43-3.65
Pr: 0.5217 0.7609 0.2826  1 La 2.85, 1 Y 3.11
Pr: 0.1676 0.3319 0.0032  3 La 3.43-3.47, 3 Pr 3.43-3.65
Pr: 0.4783 0.2391 0.7174  1 La 2.85, 1 Y 3.11
Pr: 0.8324 0.6681 0.9968  3 La 3.43-3.47, 3 Pr 3.43-3.65
Pr: 0.8325 0.1644 0.9969  3 La 3.43-3.47, 3 Pr 3.43-3.65
Pr: 0.1675 0.8356 0.0031  3 La 3.43-3.47, 3 Pr 3.43-3.65
La: 0.0000 0.5000 0.0000  6 Pr 3.47-3.63
La: 0.0000 0.0000 0.0000  2 Pr 2.85
La: 0.5000 0.0000 0.0000  6 Pr 3.47-3.63
La: 0.5000 0.5000 0.0000  6 Pr 3.47-3.63

***

Entry 6:
This record from Alexandria describes a relaxed structure of TbPmTm5Sc2. The functional is GGA-PBE.

Calculated values
- space-group type = No. 36
- M_tot (μB per formula unit) = 0.00
- final energy (eV/atom) = -4.7606
- energy of formation (eV per atom) = 0.173

abc: 5.5344 10.9595 9.2809
angles: 90.00 90.00 104.63
Closest atoms and distances in Å follow each position.
Sites, in units of the cell vectors:
Tm: 0.3910 0.7819 0.0430  4 Sc 3.18-3.43, 3 Tm 3.20-3.53, 1 Pm 3.48
Tm: 0.6923 0.3846 0.2212  5 Tm 3.34-3.69, 2 Tb 3.34, 3 Sc 3.38-3.51, 1 Pm 3.47
Tm: 0.6090 0.2181 0.5430  4 Sc 3.18-3.43, 3 Tm 3.20-3.53, 1 Pm 3.48
Tm: 0.2645 0.5291 0.3365  1 Pm 3.03, 1 Sc 3.22, 2 Tm 3.34, 1 Tb 3.35
Tm: 0.4690 0.9379 0.7481  2 Pm 3.14-3.38, 4 Tm 3.20-3.51, 2 Sc 3.34
Tm: 0.3077 0.6154 0.7212  5 Tm 3.34-3.69, 2 Tb 3.34, 3 Sc 3.38-3.51, 1 Pm 3.47
Tm: 0.0082 0.0165 0.0220  1 Sc 3.16, 2 Pm 3.49, 2 Tm 3.51
Tm: 0.7355 0.4709 0.8365  1 Pm 3.03, 1 Sc 3.22, 2 Tm 3.34, 1 Tb 3.35
Tm: 0.9918 0.9835 0.5220  1 Sc 3.16, 2 Pm 3.49, 2 Tm 3.51
Tm: 0.5310 0.0621 0.2481  2 Pm 3.14-3.38, 4 Tm 3.20-3.51, 2 Sc 3.34
Tb: 0.8112 0.6223 0.5191  2 Sc 3.18-3.25, 5 Tm 3.34-3.39, 2 Pm 3.51
Tb: 0.1888 0.3777 0.0191  2 Sc 3.18-3.25, 5 Tm 3.34-3.39, 2 Pm 3.51
Sc: 0.1130 0.2259 0.3240  8 Tm 3.16-3.43, 1 Tb 3.25, 1 Sc 3.49
Sc: 0.1425 0.2850 0.6936  1 Tb 3.18, 3 Tm 3.18-3.51, 1 Sc 3.49
Sc: 0.8870 0.7741 0.8240  8 Tm 3.16-3.43, 1 Tb 3.25, 1 Sc 3.49
Sc: 0.8575 0.7150 0.1936  1 Tb 3.18, 3 Tm 3.18-3.51, 1 Sc 3.49
Pm: 0.5971 0.1942 0.9165  3 Tm 3.03-3.38
Pm: 0.4029 0.8058 0.4165  3 Tm 3.03-3.38

***

Entry 7:
This record from Alexandria describes a relaxed structure of AcYGe2Pd2. The functional is GGA-PBE.

Calculated values
- space-group type = No. 164
- M_tot (μB per formula unit) = 0.00
- final energy (eV/atom) = -5.9551
- energy of formation (eV per atom) = -0.923

abc: 4.5068 4.5068 7.6161
angles: 90.00 90.00 120.00
Closest atoms and distances in Å follow each position.
Sites, in units of the cell vectors:
Pd: 0.3333 0.6667 0.6981  3 Ge 2.61
Pd: 0.6667 0.3333 0.3019  3 Ge 2.61
Ge: 0.3333 0.6667 0.2840  3 Pd 2.61
Ge: 0.6667 0.3333 0.7160  3 Pd 2.61
Y: 0.0000 0.0000 0.5000  6 Pd 3.01, 6 Ge 3.08
Ac: 0.0000 0.0000 0.0000  6 Ge 3.38, 6 Pd 3.47

***

Entry 8:
This record from Alexandria describes a relaxed structure of Li2TaHg. The functional is GGA-PBE.

Calculated values
- space-group type = No. 71
- M_tot (μB per formula unit) = 0.37
- final energy (eV/atom) = -3.6832
- energy of formation (eV per atom) = 0.312

abc: 5.9003 5.9003 5.9003
angles: 152.58 128.15 59.64
Closest atoms and distances in Å follow each position.
Sites, in units of the cell vectors:
Li: 0.0143 0.0143 0.0000  2 Hg 2.79, 6 Li 2.80-2.95, 2 Ta 3.05
Li: 0.4857 0.4857 0.0000  2 Hg 2.79, 6 Li 2.80-2.95, 2 Ta 3.05
Hg: 0.2500 0.7500 0.5000  4 Li 2.79, 2 Hg 2.80, 4 Ta 2.93
Ta: 0.7500 0.2500 0.5000  2 Ta 2.80, 4 Hg 2.93, 4 Li 3.05

***

Entry 9:
This record from Alexandria describes a relaxed structure of SmPd8Pt4. The functional is GGA-PBE.

Calculated values
- space-group type = No. 139
- M_tot (μB per formula unit) = 0.00
- final energy (eV/atom) = -5.7061
- energy of formation (eV per atom) = -0.289

abc: 5.3081 6.9828 6.9828
angles: 81.69 67.66 67.66
Closest atoms and distances in Å follow each position.
Sites, in units of the cell vectors:
Pd: 0.6535 0.3465 0.3465  4 Pt 2.78, 5 Pd 2.80-2.93
Pd: 0.5000 0.2178 0.7822  4 Pt 2.66, 6 Pd 2.81-2.93
Pd: 0.7178 0.7822 0.7822  4 Pt 2.66, 6 Pd 2.81-2.93
Pd: 0.0000 0.6535 0.3465  4 Pt 2.78, 5 Pd 2.80-2.93
Pd: 0.5000 0.7822 0.2178  4 Pt 2.66, 6 Pd 2.81-2.93
Pd: 0.2822 0.2178 0.2178  4 Pt 2.66, 6 Pd 2.81-2.93
Pd: 0.0000 0.3465 0.6535  4 Pt 2.78, 5 Pd 2.80-2.93
Pd: 0.3465 0.6535 0.6535  4 Pt 2.78, 5 Pd 2.80-2.93
Pt: 0.0000 0.0000 0.5000  2 Pt 2.65, 8 Pd 2.66-2.78
Pt: 0.5000 0.5000 0.0000  2 Pt 2.65, 8 Pd 2.66-2.78
Pt: 0.0000 0.5000 0.0000  2 Pt 2.65, 8 Pd 2.66-2.78
Pt: 0.5000 0.0000 0.5000  2 Pt 2.65, 8 Pd 2.66-2.78
Sm: 0.0000 0.0000 0.0000  12 Pd 3.17-3.32, 8 Pt 3.49

***

Entry 10:
This record from Alexandria describes a relaxed structure of Pr2MgOs. The functional is GGA-PBE.

Calculated values
- space-group type = No. 166
- M_tot (μB per formula unit) = 0.00
- final energy (eV/atom) = -5.2652
- energy of formation (eV per atom) = 0.331

abc: 4.0822 4.0822 10.6368
angles: 78.94 78.94 60.00
Closest atoms and distances in Å follow each position.
Sites, in units of the cell vectors:
Mg: 0.0000 0.0000 0.0000  2 Pr 3.62
Os: 0.5000 0.5000 0.5000  6 Pr 2.83
Pr: 0.8837 0.8837 0.3489  3 Os 2.83
Pr: 0.1163 0.1163 0.6511  3 Os 2.83

***

Entry 11:
This record from Alexandria describes a relaxed structure of Y2GaCo5B2. The functional is GGA-PBE.

Calculated values
- space-group type = No. 127
- M_tot (μB per formula unit) = 0.00
- final energy (eV/atom) = -6.8541
- energy of formation (eV per atom) = -0.370

abc: 3.0503 9.0448 9.0448
angles: 90.00 90.00 90.00
Closest atoms and distances in Å follow each position.
Sites, in units of the cell vectors:
Co: 0.5000 0.7716 0.9320  2 B 2.11
Co: 0.5000 0.9320 0.2284  2 B 2.11
Co: 0.5000 0.2716 0.5680  2 B 2.11
Co: 0.5000 0.5000 0.0000  4 B 2.14
Co: 0.5000 0.0680 0.7716  2 B 2.11
Co: 0.5000 0.5680 0.7284  2 B 2.11
Co: 0.5000 0.4320 0.2716  2 B 2.11
Co: 0.5000 0.2284 0.0680  2 B 2.11
Co: 0.5000 0.0000 0.5000  4 B 2.14
Co: 0.5000 0.7284 0.4320  2 B 2.11
Y: 0.0000 0.1782 0.3218  3 B 2.61-2.73, 10 Co 2.74-2.83
Y: 0.0000 0.8218 0.6782  3 B 2.61-2.73, 10 Co 2.74-2.83
Y: 0.0000 0.3218 0.8218  3 B 2.61-2.73, 10 Co 2.74-2.83
Y: 0.0000 0.6782 0.1782  3 B 2.61-2.73, 10 Co 2.74-2.83
Ga: 0.0000 0.5000 0.5000  8 Co 2.64
Ga: 0.0000 0.0000 0.0000  8 Co 2.64
B: 0.0000 0.8822 0.3822  6 Co 2.11-2.14
B: 0.0000 0.3822 0.1178  6 Co 2.11-2.14
B: 0.0000 0.6178 0.8822  6 Co 2.11-2.14
B: 0.0000 0.1178 0.6178  6 Co 2.11-2.14

***

Entry 12:
This record from Alexandria describes a relaxed structure of AcHo4Sn4. The functional is GGA-PBE.

Calculated values
- space-group type = No. 86
- M_tot (μB per formula unit) = 0.00
- final energy (eV/atom) = -4.7238
- energy of formation (eV per atom) = -0.454

abc: 6.0923 10.0550 10.0550
angles: 90.00 90.00 90.00
Closest atoms and distances in Å follow each position.
Sites, in units of the cell vectors:
Sn: 0.5910 0.1902 0.6602  1 Sn 2.91, 5 Ho 3.03-3.22
Sn: 0.9090 0.3098 0.8398  1 Sn 2.91, 5 Ho 3.03-3.22
Sn: 0.9090 0.6902 0.1602  1 Sn 2.91, 5 Ho 3.03-3.22
Sn: 0.5910 0.8098 0.3398  1 Sn 2.91, 5 Ho 3.03-3.22
Sn: 0.0910 0.8398 0.6902  1 Sn 2.91, 5 Ho 3.03-3.22
Sn: 0.4090 0.6602 0.8098  1 Sn 2.91, 5 Ho 3.03-3.22
Sn: 0.0910 0.1602 0.3098  1 Sn 2.91, 5 Ho 3.03-3.22
Sn: 0.4090 0.3398 0.1902  1 Sn 2.91, 5 Ho 3.03-3.22
Ho: 0.3929 0.3622 0.8853  5 Sn 3.03-3.22
Ho: 0.1071 0.1378 0.6147  5 Sn 3.03-3.22
Ho: 0.8929 0.6147 0.8622  5 Sn 3.03-3.22
Ho: 0.1071 0.8622 0.3853  5 Sn 3.03-3.22
Ho: 0.6071 0.8853 0.6378  5 Sn 3.03-3.22
Ho: 0.6071 0.1147 0.3622  5 Sn 3.03-3.22
Ho: 0.3929 0.6378 0.1147  5 Sn 3.03-3.22
Ho: 0.8929 0.3853 0.1378  5 Sn 3.03-3.22
Ac: 0.5000 0.5000 0.5000  4 Sn 3.55
Ac: 0.0000 0.0000 0.0000  4 Sn 3.55